Computed, not measured: crystalline Fe2CoCl at its relaxed geometry at the PBE-GGA level of DFT.

POSCAR file:
```
Fe2CoCl
1.0
1.455 0.840 7.436
-1.455 0.840 7.436
0.000 -1.680 7.436
Fe Co Cl
2 1 1
Cartesian
0.000 0.000 5.479 Fe
0.000 0.000 16.828 Fe
0.000 0.000 11.154 Co
0.000 0.000 0.000 Cl
```

Values from the calculation:
space group: No. 166
formation energy from raw total energies: 1.18 eV per formula unit


Computed, not measured: crystalline FeCo2Cl at its relaxed geometry at the PBE-GGA level of DFT.

POSCAR file:
```
FeCo2Cl
1.0
4.217 0.000 0.000
0.000 2.786 0.000
-1.765 0.000 4.362
Fe Co Cl
1 2 1
Cartesian
0.000 0.000 0.000 Fe
1.226 0.000 2.181 Co
2.109 1.393 0.000 Co
-0.882 1.393 2.181 Cl
```

Values from the calculation:
space group: No. 10
formation energy from raw total energies: 2.33 eV per formula unit


Computed, not measured: crystalline FeCo2Cl at its relaxed geometry at the PBE-GGA level of DFT.

POSCAR file:
```
FeCo2Cl
1.0
-1.382 2.134 4.222
1.382 -2.134 4.222
1.382 2.134 -4.222
Fe Co Cl
1 2 1
Cartesian
0.000 0.000 0.000 Fe
1.382 0.000 2.238 Co
0.000 2.134 1.984 Co
0.000 0.000 4.222 Cl
```

Values from the calculation:
space group: No. 71
formation energy from raw total energies: 2.09 eV per formula unit


The calculation returns the following ΔE to the lowest computed polymorph values, one per record and in order: 157 442 383 meV/atom.